Compound: SrNb3I
Source: the Alexandria database
Functional: GGA-PBEsol
Structure: optimized geometry

Structure (POSCAR):
```
SrNb3I
1.0
5.0970 0.0000 0.0000
0.0000 5.0970 0.0000
0.0000 0.0000 5.0970
Sr Nb I
1 3 1
direct
0.0000 0.0000 0.0000 Sr
0.0000 0.5000 0.5000 Nb
0.5000 0.0000 0.5000 Nb
0.5000 0.5000 0.0000 Nb
0.5000 0.5000 0.5000 I
```

Values from the calculation:
Formation energy without anion corrections in kJ/mol of formula units: 653
Calculated density in g cm⁻³: 6.19
SG: No. 221
Fermi-level density of states in states/eV/cell: 12.08

Compound: SrNbI2
Source: the Alexandria database
Functional: GGA-PBEsol
Structure: optimized geometry

Structure (POSCAR):
```
SrNbI2
1.0
5.6132 0.0000 0.0000
0.0000 5.6132 0.0000
0.0000 0.0000 18.4720
Sr Nb I
4 4 8
direct
0.0000 0.0000 0.0000 Sr
0.0000 0.5000 0.2500 Sr
0.5000 0.0000 0.7500 Sr
0.5000 0.5000 0.5000 Sr
0.0000 0.0000 0.5000 Nb
0.0000 0.5000 0.7500 Nb
0.5000 0.0000 0.2500 Nb
0.5000 0.5000 0.0000 Nb
0.2078 0.2500 0.6250 I
0.2500 0.7078 0.8750 I
0.2500 0.7922 0.3750 I
0.2922 0.2500 0.1250 I
0.7078 0.7500 0.1250 I
0.7500 0.2078 0.3750 I
0.7500 0.2922 0.8750 I
0.7922 0.7500 0.6250 I
```

Values from the calculation:
Formation energy without anion corrections in kJ/mol of formula units: 25
Calculated density in g cm⁻³: 4.96
SG: No. 122
Fermi-level density of states in states/eV/cell: 14.30

Compound: Ta2NbTeI7
Source: the Alexandria database
Functional: GGA-PBEsol
Structure: optimized geometry

Structure (POSCAR):
```
Ta2NbTeI7
1.0
6.5367 -3.7738 0.0000
6.5367 3.7738 0.0000
-0.0195 0.0000 13.9340
Ta Nb Te I
4 2 2 14
direct
0.0000 0.0000 0.0000 Ta
0.0000 0.3952 0.0000 Ta
0.2644 0.2644 0.5006 Ta
0.3952 0.0000 0.0000 Ta
0.2641 0.8662 0.4998 Nb
0.8662 0.2641 0.4998 Nb
0.1320 0.1320 0.1504 Te
0.1323 0.1323 0.6494 Te
0.1262 0.6327 0.6093 I
0.1365 0.6296 0.1081 I
0.3007 0.3007 0.8678 I
0.3006 0.7935 0.8677 I
0.4644 0.4644 0.3974 I
0.4711 0.9643 0.3685 I
0.6296 0.1365 0.1081 I
0.6296 0.6296 0.1082 I
0.6327 0.1262 0.6093 I
0.6331 0.6331 0.6108 I
0.7935 0.3006 0.8677 I
0.7982 0.7982 0.8980 I
0.9626 0.9626 0.3672 I
0.9643 0.4711 0.3685 I
```

Values from the calculation:
Formation energy without anion corrections in kJ/mol of formula units: -526
Calculated density in g cm⁻³: 7.11
SG: No. 8
Fermi-level density of states in states/eV/cell: 0.48

Compound: Nb2Te6I
Source: the Alexandria database
Functional: GGA-PBEsol
Structure: optimized geometry

Structure (POSCAR):
```
Nb2Te6I
1.0
9.1052 0.0000 0.0000
0.0000 13.2107 0.0000
-3.6437 0.0000 8.8962
Nb Te I
8 24 4
direct
0.0253 0.0254 0.3675 Nb
0.0253 0.4746 0.8675 Nb
0.3239 0.5066 0.3706 Nb
0.3239 0.9934 0.8706 Nb
0.6761 0.0066 0.1294 Nb
0.6761 0.4934 0.6294 Nb
0.9747 0.5254 0.1325 Nb
0.9747 0.9746 0.6325 Nb
0.0441 0.0704 0.9114 Te
0.0441 0.4296 0.4114 Te
0.1221 0.6957 0.2772 Te
0.1221 0.8043 0.7772 Te
0.1521 0.1462 0.6405 Te
0.1521 0.3538 0.1405 Te
0.2585 0.6021 0.0890 Te
0.2585 0.8979 0.5890 Te
0.4125 0.5899 0.6622 Te
0.4125 0.9101 0.1622 Te
0.4569 0.1698 0.0343 Te
0.4569 0.3302 0.5343 Te
0.5431 0.6698 0.4657 Te
0.5431 0.8302 0.9657 Te
0.5875 0.0899 0.8378 Te
0.5875 0.4101 0.3378 Te
0.7415 0.1021 0.4110 Te
0.7415 0.3979 0.9110 Te
0.8479 0.6462 0.8595 Te
0.8479 0.8538 0.3595 Te
0.8779 0.1957 0.2228 Te
0.8779 0.3043 0.7228 Te
0.9559 0.5704 0.5886 Te
0.9559 0.9296 0.0886 Te
0.3152 0.0855 0.3432 I
0.3152 0.4145 0.8432 I
0.6848 0.5855 0.1568 I
0.6848 0.9145 0.6568 I
```

Values from the calculation:
Formation energy without anion corrections in kJ/mol of formula units: -331
Calculated density in g cm⁻³: 6.69
SG: No. 14
Fermi-level density of states in states/eV/cell: 0.33

Compound: NbTe4I6
Source: the Alexandria database
Functional: GGA-PBEsol
Structure: optimized geometry

Structure (POSCAR):
```
NbTe4I6
1.0
7.7778 0.0000 0.0000
-1.3575 10.8685 0.0000
-2.6112 -5.7597 10.2968
Nb Te I
2 8 12
direct
0.0268 0.3903 0.0430 Nb
0.9732 0.6097 0.9570 Nb
0.1050 0.9115 0.1214 Te
0.1384 0.3928 0.8378 Te
0.2136 0.4523 0.3044 Te
0.3166 0.6013 0.0827 Te
0.6834 0.3987 0.9173 Te
0.7864 0.5477 0.6956 Te
0.8616 0.6072 0.1622 Te
0.8950 0.0885 0.8786 Te
0.0027 0.9986 0.3511 I
0.1050 0.6769 0.4795 I
0.1717 0.7616 0.8535 I
0.2988 0.2293 0.0575 I
0.4261 0.3947 0.6108 I
0.4772 0.9875 0.2511 I
0.5228 0.0125 0.7489 I
0.5739 0.6053 0.3892 I
0.7012 0.7707 0.9425 I
0.8283 0.2384 0.1465 I
0.8950 0.3231 0.5205 I
0.9973 0.0014 0.6489 I
```

Values from the calculation:
Formation energy without anion corrections in kJ/mol of formula units: -259
Calculated density in g cm⁻³: 5.21
SG: No. 2

Compound: NbTlTe2I
Source: the Alexandria database
Functional: GGA-PBEsol
Structure: optimized geometry

Structure (POSCAR):
```
NbTlTe2I
1.0
5.5969 0.0000 0.0000
0.0000 5.5969 0.0000
0.0000 0.0000 5.6975
Nb Tl Te I
1 1 2 1
direct
0.0000 0.0000 0.0000 Nb
0.5000 0.5000 0.5000 Tl
0.0000 0.5000 0.5000 Te
0.5000 0.0000 0.5000 Te
0.5000 0.5000 0.0000 I
```

Values from the calculation:
Formation energy without anion corrections in kJ/mol of formula units: 563
Calculated density in g cm⁻³: 6.32
SG: No. 123
Fermi-level density of states in states/eV/cell: 5.08

Compound: NbTe2WI
Source: the Alexandria database
Functional: GGA-PBEsol
Structure: optimized geometry

Structure (POSCAR):
```
NbTe2WI
1.0
5.1877 0.0000 0.0000
0.0000 5.1877 0.0000
0.0000 0.0000 5.4315
Nb Te W I
1 2 1 1
direct
0.0000 0.0000 0.0000 Nb
0.0000 0.5000 0.5000 Te
0.5000 0.0000 0.5000 Te
0.5000 0.5000 0.5000 W
0.5000 0.5000 0.0000 I
```

Values from the calculation:
Formation energy without anion corrections in kJ/mol of formula units: 627
Calculated density in g cm⁻³: 7.48
SG: No. 123
Fermi-level density of states in states/eV/cell: 4.89

Compound: NbZnTeI2
Source: the Alexandria database
Functional: GGA-PBEsol
Structure: optimized geometry

Structure (POSCAR):
```
NbZnTeI2
1.0
5.2676 0.0000 0.0000
0.0000 5.2676 0.0000
0.0000 0.0000 5.2970
Nb Zn Te I
1 1 1 2
direct
0.0000 0.0000 0.0000 Nb
0.5000 0.5000 0.5000 Zn
0.5000 0.5000 0.0000 Te
0.0000 0.5000 0.5000 I
0.5000 0.0000 0.5000 I
```

Values from the calculation:
Formation energy without anion corrections in kJ/mol of formula units: 372
Calculated density in g cm⁻³: 6.10
SG: No. 123
Fermi-level density of states in states/eV/cell: 3.67

Compound: TiNb3I
Source: the Alexandria database
Functional: GGA-PBEsol
Structure: optimized geometry

Structure (POSCAR):
```
TiNb3I
1.0
4.9225 0.0000 0.0000
0.0000 4.9225 0.0000
0.0000 0.0000 4.9225
Ti Nb I
1 3 1
direct
0.0000 0.0000 0.0000 Ti
0.0000 0.5000 0.5000 Nb
0.5000 0.0000 0.5000 Nb
0.5000 0.5000 0.0000 Nb
0.5000 0.5000 0.5000 I
```

Values from the calculation:
Formation energy without anion corrections in kJ/mol of formula units: 801
Calculated density in g cm⁻³: 6.31
SG: No. 221
Fermi-level density of states in states/eV/cell: 5.55

Compound: NdI3
Source: the Alexandria database
Functional: GGA-PBEsol
Structure: optimized geometry

Structure (POSCAR):
```
NdI3
1.0
10.7450 0.0000 0.0000
-5.3725 9.3054 0.0000
0.0000 0.0000 4.0653
Nd I
2 6
direct
0.3333 0.6667 0.2500 Nd
0.6667 0.3333 0.7500 Nd
0.2073 0.4146 0.7500 I
0.2073 0.7927 0.7500 I
0.4146 0.2073 0.2500 I
0.5854 0.7927 0.7500 I
0.7927 0.2073 0.2500 I
0.7927 0.5854 0.2500 I
```

Values from the calculation:
Formation energy without anion corrections in kJ/mol of formula units: -518
Calculated density in g cm⁻³: 4.29
SG: No. 194
Fermi-level density of states in states/eV/cell: 0.00

Compound: NdI3O9
Source: the Alexandria database
Functional: GGA-PBEsol
Structure: optimized geometry

Structure (POSCAR):
```
NdI3O9
1.0
8.7721 0.0000 0.0000
0.0000 5.8028 0.0000
-6.9097 0.0000 15.0100
Nd I O
4 12 36
direct
0.1373 0.2354 0.0982 Nd
0.1373 0.2646 0.5982 Nd
0.8627 0.7354 0.4018 Nd
0.8627 0.7646 0.9018 Nd
0.0715 0.1871 0.3476 I
0.0715 0.3129 0.8476 I
0.3628 0.6441 0.5233 I
0.3628 0.8559 0.0233 I
0.4153 0.5943 0.7985 I
0.4153 0.9057 0.2985 I
0.5847 0.0943 0.7015 I
0.5847 0.4057 0.2015 I
0.6372 0.1441 0.9767 I
0.6372 0.3559 0.4767 I
0.9285 0.6871 0.1524 I
0.9285 0.8129 0.6524 I
0.0605 0.0610 0.7094 O
0.0605 0.4390 0.2094 O
0.0885 0.0759 0.4557 O
0.0885 0.4241 0.9557 O
0.1052 0.6134 0.6728 O
0.1052 0.8866 0.1728 O
0.1347 0.5831 0.4895 O
0.1347 0.9169 0.9895 O
0.3274 0.5921 0.8818 O
0.3274 0.9079 0.3818 O
0.3436 0.1943 0.2547 O
0.3436 0.3057 0.7547 O
0.3637 0.0968 0.9472 O
0.3637 0.4032 0.4472 O
0.3696 0.5077 0.1303 O
0.3696 0.9923 0.6303 O
0.4071 0.0320 0.1232 O
0.4071 0.4680 0.6232 O
0.5929 0.5320 0.3768 O
0.5929 0.9680 0.8768 O
0.6304 0.0077 0.3697 O
0.6304 0.4923 0.8697 O
0.6363 0.5968 0.5528 O
0.6363 0.9032 0.0528 O
0.6564 0.6943 0.2453 O
0.6564 0.8057 0.7453 O
0.6726 0.0921 0.6182 O
0.6726 0.4079 0.1182 O
0.8653 0.0831 0.0105 O
0.8653 0.4169 0.5105 O
0.8948 0.1134 0.8272 O
0.8948 0.3866 0.3272 O
0.9115 0.5759 0.0443 O
0.9115 0.9241 0.5443 O
0.9395 0.5610 0.7906 O
0.9395 0.9390 0.2906 O
```

Values from the calculation:
Formation energy without anion corrections in kJ/mol of formula units: -1299
Calculated density in g cm⁻³: 5.82
SG: No. 14
Fermi-level density of states in states/eV/cell: 0.00

Compound: Rb2NdI5
Source: the Alexandria database
Functional: GGA-PBEsol
Structure: optimized geometry

Structure (POSCAR):
```
Rb2NdI5
1.0
14.3929 0.0000 0.0000
0.0000 9.8769 0.0000
0.0000 0.0000 9.1988
Rb Nd I
8 4 20
direct
0.1710 0.0084 0.0786 Rb
0.1710 0.4916 0.0786 Rb
0.3290 0.5084 0.5786 Rb
0.3290 0.9916 0.5786 Rb
0.6710 0.0084 0.4214 Rb
0.6710 0.4916 0.4214 Rb
0.8290 0.5084 0.9214 Rb
0.8290 0.9916 0.9214 Rb
0.0067 0.2500 0.5804 Nd
0.4933 0.7500 0.0804 Nd
0.5067 0.2500 0.9196 Nd
0.9933 0.7500 0.4196 Nd
0.0079 0.2500 0.9254 I
0.0662 0.5484 0.6735 I
0.0662 0.9516 0.6735 I
0.1880 0.2500 0.3922 I
0.2058 0.7500 0.3537 I
0.2942 0.2500 0.8537 I
0.3120 0.7500 0.8922 I
0.4338 0.0484 0.1735 I
0.4338 0.4516 0.1735 I
0.4921 0.7500 0.4254 I
0.5079 0.2500 0.5746 I
0.5662 0.5484 0.8265 I
0.5662 0.9516 0.8265 I
0.6880 0.2500 0.1078 I
0.7058 0.7500 0.1463 I
0.7942 0.2500 0.6463 I
0.8120 0.7500 0.6078 I
0.9338 0.0484 0.3265 I
0.9338 0.4516 0.3265 I
0.9921 0.7500 0.0746 I
```

Values from the calculation:
Formation energy without anion corrections in kJ/mol of formula units: -1137
Calculated density in g cm⁻³: 4.82
SG: No. 62
Fermi-level density of states in states/eV/cell: 0.00

Compound: NiI2O6
Source: the Alexandria database
Functional: GGA-PBEsol
Structure: optimized geometry

Structure (POSCAR):
```
NiI2O6
1.0
5.7607 0.0000 0.0000
-2.8804 4.9889 0.0000
0.0000 0.0000 4.9227
Ni I O
1 2 6
direct
0.0000 0.0000 0.0000 Ni
0.3333 0.6667 0.9677 I
0.6667 0.3333 0.0323 I
0.1733 0.3466 0.7813 O
0.1733 0.8267 0.7813 O
0.3466 0.1733 0.2187 O
0.6534 0.8267 0.7813 O
0.8267 0.1733 0.2187 O
0.8267 0.6534 0.2187 O
```

Values from the calculation:
Formation energy without anion corrections in kJ/mol of formula units: -225
Calculated density in g cm⁻³: 4.79
Energy above the lowest structure with this stoichiometry in eV/atom: 0.166
SG: No. 164

Compound: NiI2O6
Source: the Alexandria database
Functional: GGA-PBEsol
Structure: optimized geometry

Structure (POSCAR):
```
NiI2O6
1.0
5.3603 0.0000 0.0000
0.0000 4.9529 0.0000
-0.0150 0.0000 9.2037
Ni I O
2 4 12
direct
0.2321 0.0000 0.2466 Ni
0.7679 0.5000 0.7534 Ni
0.2620 0.4412 0.5690 I
0.2681 0.9229 0.9018 I
0.7319 0.4229 0.0982 I
0.7380 0.9412 0.4310 I
0.0232 0.7557 0.3749 O
0.0911 0.7081 0.7711 O
0.1422 0.7770 0.0713 O
0.3492 0.2059 0.4193 O
0.4379 0.2216 0.1013 O
0.4699 0.2721 0.7028 O
0.5301 0.7721 0.2972 O
0.5621 0.7216 0.8987 O
0.6508 0.7059 0.5807 O
0.8578 0.2770 0.9287 O
0.9089 0.2081 0.2289 O
0.9768 0.2557 0.6251 O
```

Values from the calculation:
Formation energy without anion corrections in kJ/mol of formula units: -369
Calculated density in g cm⁻³: 5.55
Energy above the lowest structure with this stoichiometry in eV/atom: 0.000
SG: No. 4

Compound: ReNiIO2
Source: the Alexandria database
Functional: GGA-PBEsol
Structure: optimized geometry

Structure (POSCAR):
```
ReNiIO2
1.0
3.7208 0.0000 0.0000
0.0000 3.7208 0.0000
0.0000 0.0000 5.9766
Re Ni I O
1 1 1 2
direct
0.0000 0.0000 0.0000 Re
0.5000 0.5000 0.5000 Ni
0.0000 0.0000 0.5000 I
0.0000 0.5000 0.0000 O
0.5000 0.0000 0.0000 O
```

Values from the calculation:
Formation energy without anion corrections in kJ/mol of formula units: -204
Calculated density in g cm⁻³: 8.10
Energy above the lowest structure with this stoichiometry in eV/atom: 0.000
SG: No. 123
Fermi-level density of states in states/eV/cell: 2.97

Compound: ReNiIO2
Source: the Alexandria database
Functional: GGA-PBEsol
Structure: optimized geometry

Structure (POSCAR):
```
ReNiIO2
1.0
3.7906 0.0000 0.0000
0.0000 3.7906 0.0000
0.0000 0.0000 5.0170
Re Ni I O
1 1 1 2
direct
0.0000 0.0000 0.0000 Re
0.5000 0.5000 0.5000 Ni
0.5000 0.5000 0.0000 I
0.0000 0.5000 0.5000 O
0.5000 0.0000 0.5000 O
```

Values from the calculation:
Formation energy without anion corrections in kJ/mol of formula units: 455
Calculated density in g cm⁻³: 9.30
Energy above the lowest structure with this stoichiometry in eV/atom: 1.366
SG: No. 123
Fermi-level density of states in states/eV/cell: 6.06

Compound: Ni2RhIO
Source: the Alexandria database
Functional: GGA-PBEsol
Structure: optimized geometry

Structure (POSCAR):
```
Ni2RhIO
1.0
4.5843 0.0000 0.0000
0.0000 4.5843 0.0000
0.0000 0.0000 3.8854
Ni Rh I O
2 1 1 1
direct
0.0000 0.5000 0.0000 Ni
0.5000 0.0000 0.0000 Ni
0.0000 0.0000 0.5000 Rh
0.5000 0.5000 0.0000 I
0.5000 0.5000 0.5000 O
```

Values from the calculation:
Formation energy without anion corrections in kJ/mol of formula units: 582
Calculated density in g cm⁻³: 7.39
SG: No. 123
Fermi-level density of states in states/eV/cell: 9.71

Compound: NiRuIO2
Source: the Alexandria database
Functional: GGA-PBEsol
Structure: optimized geometry

Structure (POSCAR):
```
NiRuIO2
1.0
3.6730 0.0000 0.0000
0.0000 3.6730 0.0000
0.0000 0.0000 5.9695
Ni Ru I O
1 1 1 2
direct
0.0000 0.0000 0.0000 Ni
0.5000 0.5000 0.5000 Ru
0.5000 0.5000 0.0000 I
0.0000 0.5000 0.5000 O
0.5000 0.0000 0.5000 O
```

Values from the calculation:
Formation energy without anion corrections in kJ/mol of formula units: -90
Calculated density in g cm⁻³: 6.57
SG: No. 123
Fermi-level density of states in states/eV/cell: 3.70

Compound: NiS2IO
Source: the Alexandria database
Functional: GGA-PBEsol
Structure: optimized geometry

Structure (POSCAR):
```
NiS2IO
1.0
3.7955 0.0000 0.0000
0.0000 3.7955 0.0000
0.0000 0.0000 6.5489
Ni S I O
1 2 1 1
direct
0.0000 0.0000 0.0000 Ni
0.0000 0.5000 0.5000 S
0.5000 0.0000 0.5000 S
0.5000 0.5000 0.0000 I
0.5000 0.5000 0.5000 O
```

Values from the calculation:
Formation energy without anion corrections in kJ/mol of formula units: 338
Calculated density in g cm⁻³: 4.68
SG: No. 123
Fermi-level density of states in states/eV/cell: 7.26